RbInI2 | GGA-PBE | optimized geometry

Structure (POSCAR):
```
RbInI2
1.0
8.6905 0.0000 0.0000
0.0000 8.6905 0.0000
0.0000 0.0000 8.6905
Rb In I
4 4 8
Cartesian
0.0000 0.0000 0.0000 Rb
0.0000 4.3453 4.3453 Rb
4.3453 0.0000 4.3453 Rb
4.3453 4.3453 0.0000 Rb
0.0000 0.0000 4.3453 In
0.0000 4.3453 0.0000 In
4.3453 0.0000 0.0000 In
4.3453 4.3453 4.3453 In
2.1726 2.1726 2.1726 I
2.1726 2.1726 6.5179 I
2.1726 6.5179 2.1726 I
2.1726 6.5179 6.5179 I
6.5179 2.1726 2.1726 I
6.5179 2.1726 6.5179 I
6.5179 6.5179 2.1726 I
6.5179 6.5179 6.5179 I
```

## Properties
E_form (uncorrected) = -3.68 eV per formula unit
symmetry = No. 225
Fermi-level density of states = 0.0 states/eV/cell
total magnetic moment = 0.0000 μB/atom